[1]
This record from the Alexandria database describes NaErAg2 after structural relaxation. The functional is PBE.

Computed properties:
total energy: -2.88 eV/atom
calculated volume: 25.51 Å³/atom

Unit cell a=3.6221 b=3.6221 c=26.9455 alpha=90.00 beta=90.00 gamma=120.00
Space group R-3m (No. 166, hexagonal axes)
One atom of each set of equivalent atoms:
Na 0.0000 0.0000 0.0000
Er 0.0000 0.0000 0.5000
Ag 0.0000 0.0000 0.2463

[2]
This record from the Alexandria database describes Pa3OsRh2 after structural relaxation. The functional is PBE.

Computed properties:
total energy: -9.62 eV/atom
calculated volume: 20.39 Å³/atom

Unit cell a=5.682 b=15.448 c=7.104 alpha=90.00 beta=128.30 gamma=90.00
Space group P2_1/c (No. 14)
One atom of each set of equivalent atoms:
Pa 0.231 0.061 0.341
Pa 0.248 0.739 0.384
Pa 0.266 0.064 0.867
Os 0.259 0.607 0.661
Rh 0.243 0.608 0.095
Rh 0.251 0.248 0.112

[3]
This record from the Alexandria database describes Pr8InBi5 after structural relaxation. The functional is PBE.

Computed properties:
total energy: -5.09 eV/atom
calculated volume: 33.22 Å³/atom

Unit cell a=9.747 b=9.747 c=9.790 alpha=90.00 beta=90.00 gamma=90.00
Space group I-4 (No. 82)
One atom of each set of equivalent atoms:
Pr 0.070 0.180 0.196
Pr 0.072 0.322 0.552
In 0.000 0.500 0.250
Bi 0.000 0.000 0.500
Bi 0.124 0.251 0.874